SrSeO2F: relaxed, PBE-GGA.

```
SrSeO2F
1.0
4.775 0.000 0.000
0.000 4.775 0.000
0.000 0.000 4.535
Sr O Se F
1 2 1 1
Direct
0.000 0.000 0.000
0.000 0.500 0.000
0.500 0.000 0.000
0.500 0.500 0.500
0.000 0.000 0.500
```

Summary:
ΔE_f (raw): -485 meV/atom